# 1
# NaTiOsO6, relaxed, DFT PBE
data_NaTiOsO6
_chemical_formula_sum 'Na2 Ti2 Os2 O12'
_cell_length_a 5.1686
_cell_length_b 5.1686
_cell_length_c 10.3602
_cell_angle_alpha 90.00
_cell_angle_beta 90.00
_cell_angle_gamma 120.00
_space_group_name_H-M_alt 'P -3 1 c'
_space_group_IT_number 163
_space_group_name_Hall '-P 3 2c'
loop_
_atom_site_label
_atom_site_fract_x
_atom_site_fract_y
_atom_site_fract_z
Na1 0.0000 0.0000 0.0000
Ti1 0.3333 0.6667 0.2500
Os1 0.3333 0.6667 0.7500
O1 0.0101 0.3815 0.6478
# size of the total moment	0.11	μB/atom
# uncorrected formation energy	-1.733	eV per atom
# DOS(E_F)	0.36	states/eV per atom
# E	-7.310	eV per atom

***

# 2
# CuNi2Pd2, relaxed, DFT PBE
data_CuNi2Pd2
_chemical_formula_sum 'Cu2 Ni4 Pd4'
_cell_length_a 3.979
_cell_length_b 12.490
_cell_length_c 2.648
_cell_angle_alpha 90.00
_cell_angle_beta 90.00
_cell_angle_gamma 90.00
_space_group_name_H-M_alt 'C m m m'
_space_group_IT_number 65
_space_group_name_Hall '-C 2 2'
loop_
_atom_site_label
_atom_site_fract_x
_atom_site_fract_y
_atom_site_fract_z
Cu1 0.000 0.000 0.000
Ni1 0.000 0.200 0.000
Pd1 0.000 0.390 0.500
# size of the total moment	0.36	μB/atom
# energy relative to the lowest polymorph listed for this composition	0.0000	eV per atom
# DOS(E_F)	1.57	states/eV per atom
# DFT formation energy	0.045	eV/atom
# E	-5.164	eV per atom

***

# 3
# Cs4Hg2Bi2Pd, relaxed, DFT PBE
data_Cs4Hg2Bi2Pd
_chemical_formula_sum 'Cs8 Hg4 Bi4 Pd2'
_cell_length_a 13.758
_cell_length_b 9.617
_cell_length_c 6.711
_cell_angle_alpha 90.00
_cell_angle_beta 98.89
_cell_angle_gamma 90.00
_space_group_name_H-M_alt 'C 1 2/m 1'
_space_group_IT_number 12
_space_group_name_Hall '-C 2y'
loop_
_atom_site_label
_atom_site_fract_x
_atom_site_fract_y
_atom_site_fract_z
Cs1 0.113 0.249 0.265
Hg1 0.155 0.500 0.814
Bi1 0.156 0.000 0.788
Pd1 0.000 0.000 0.500
# size of the total moment	0.19	μB/atom
# DOS(E_F)	0.61	states/eV per atom
# DFT formation energy	-0.221	eV/atom
# E	-2.107	eV per atom